The following is a PBE calculation of a relaxed Pm4GaRh crystal, from the Alexandria database.

Summary:
energy relative to the lowest polymorph listed for this composition: 34 meV/atom
theoretical density: 7.443 g cm⁻³

Unit cell a=9.0011 b=13.7842 c=6.2134 alpha=90.00 beta=119.39 gamma=90.00
Space group C2/c (No. 15)
Asymmetric unit:
Pm 0.1222 0.1838 0.0892 (multiplicity 8)
Pm 0.2106 0.4341 0.3083 (multiplicity 8)
Ga 0.0000 0.3718 0.7500 (multiplicity 4)
Rh 0.0000 0.0006 0.2500 (multiplicity 4)